No. 1
# YCdOs2 PBE relaxed
data_YCdOs2
_cell_length_a 5.6056
_cell_length_b 5.6056
_cell_length_c 5.0550
_cell_angle_alpha 111.87
_cell_angle_beta 111.87
_cell_angle_gamma 31.05
_symmetry_space_group_name_H-M 'P 1'
_symmetry_Int_Tables_number 1
loop_
_symmetry_equiv_pos_as_xyz
'x,y,z'
loop_
_atom_site_label
_atom_site_type_symbol
_atom_site_fract_x
_atom_site_fract_y
_atom_site_fract_z
Y1 Y 0.0000 0.0000 0.0000
Cd1 Cd 0.7910 0.7910 0.3679
Os1 Os 0.2364 0.2364 0.8413
Os2 Os 0.5443 0.5443 0.5197
# magnetic moment	0.0	μB/f.u.
# E_form	0.2756	eV/atom

***

No. 2
# ZnCdOs PBE relaxed
data_ZnCdOs
_cell_length_a 2.8348
_cell_length_b 2.8348
_cell_length_c 7.0441
_cell_angle_alpha 90.00
_cell_angle_beta 90.00
_cell_angle_gamma 120.00
_symmetry_space_group_name_H-M 'P 1'
_symmetry_Int_Tables_number 1
loop_
_symmetry_equiv_pos_as_xyz
'x,y,z'
loop_
_atom_site_label
_atom_site_type_symbol
_atom_site_fract_x
_atom_site_fract_y
_atom_site_fract_z
Zn1 Zn 0.0000 0.0000 0.0000
Cd1 Cd 0.3333 0.6667 0.3561
Os1 Os 0.6667 0.3333 0.7045
# magnetic moment	0.0	μB/f.u.
# ΔE to the lowest computed polymorph	0.85	eV/f.u.
# E_form	0.3933	eV/atom

***

No. 3
# ZnCdOs PBE relaxed
data_ZnCdOs
_cell_length_a 7.4532
_cell_length_b 7.2002
_cell_length_c 2.8142
_cell_angle_alpha 84.03
_cell_angle_beta 73.91
_cell_angle_gamma 22.06
_symmetry_space_group_name_H-M 'P 1'
_symmetry_Int_Tables_number 1
loop_
_symmetry_equiv_pos_as_xyz
'x,y,z'
loop_
_atom_site_label
_atom_site_type_symbol
_atom_site_fract_x
_atom_site_fract_y
_atom_site_fract_z
Zn1 Zn 0.0000 0.0000 0.0000
Cd1 Cd 0.3259 0.3259 0.6741
Os1 Os 0.6512 0.6512 0.3488
# magnetic moment	0.5	μB/f.u.
# ΔE to the lowest computed polymorph	1.01	eV/f.u.
# E_form	0.4468	eV/atom

***

No. 4
# ZnCdOs PBE relaxed
data_ZnCdOs
_cell_length_a 4.2447
_cell_length_b 4.2447
_cell_length_c 4.2447
_cell_angle_alpha 60.00
_cell_angle_beta 60.00
_cell_angle_gamma 60.00
_symmetry_space_group_name_H-M 'P 1'
_symmetry_Int_Tables_number 1
loop_
_symmetry_equiv_pos_as_xyz
'x,y,z'
loop_
_atom_site_label
_atom_site_type_symbol
_atom_site_fract_x
_atom_site_fract_y
_atom_site_fract_z
Zn1 Zn 0.0000 0.0000 0.0000
Cd1 Cd 0.7500 0.7500 0.7500
Os1 Os 0.2500 0.2500 0.2500
# magnetic moment	0.0	μB/f.u.
# ΔE to the lowest computed polymorph	2.23	eV/f.u.
# E_form	0.8528	eV/atom

***

| no. | volume (Å³ per atom) |
| --- | --- |
| 1 | 18.89 |
| 2 | 16.34 |
| 3 | 16.45 |
| 4 | 18.03 |